# DyErSc2, optimized geometry, DFT GGA-PBE
data_DyErSc2
_space_group_name_H-M_alt 'R 3 m'
_space_group_IT_number 160
_space_group_name_Hall 'R 3 -2"'
_cell_length_a 3.4332
_cell_length_b 3.4332
_cell_length_c 32.5729
_cell_angle_alpha 90.00
_cell_angle_beta 90.00
_cell_angle_gamma 120.00
loop_
_atom_site_label
_atom_site_type_symbol
_atom_site_fract_x
_atom_site_fract_y
_atom_site_fract_z
Dy1 Dy 0.0000 0.0000 0.0000
Er1 Er 0.0000 0.0000 0.1657
Sc1 Sc 0.0000 0.0000 0.5826
Sc2 Sc 0.0000 0.0000 0.7496
# Energy of formation in kJ per mole of atoms: 4.8
# DOS at the Fermi energy in states/eV/f.u.: 6.86
# Crystal system: trigonal


# Pr2Sm3Pd2, optimized geometry, DFT GGA-PBE
data_Pr2Sm3Pd2
_space_group_name_H-M_alt 'C 1 2/m 1'
_space_group_IT_number 12
_cell_length_a 12.718
_cell_length_b 3.841
_cell_length_c 9.282
_cell_angle_alpha 90.00
_cell_angle_beta 116.60
_cell_angle_gamma 90.00
loop_
_space_group_symop_operation_xyz
'x,y,z'
'-x,-y,-z'
'-x,y,-z'
'x,-y,z'
'x+1/2,y+1/2,z'
'-x+1/2,-y+1/2,-z'
'-x+1/2,y+1/2,-z'
'x+1/2,-y+1/2,z'
loop_
_atom_site_label
_atom_site_type_symbol
_atom_site_fract_x
_atom_site_fract_y
_atom_site_fract_z
Pr1 Pr 0.156 0.000 0.312
Sm1 Sm 0.000 0.500 0.500
Sm2 Sm 0.116 0.500 0.942
Pd1 Pd 0.164 0.000 0.736
# Energy of formation in kJ per mole of atoms: -45.3
# DOS at the Fermi energy in states/eV/f.u.: 8.12
# Crystal system: monoclinic


# La3AuC, optimized geometry, DFT GGA-PBE
data_La3AuC
_space_group_name_H-M_alt 'R 3 m'
_space_group_IT_number 160
_space_group_name_Hall 'R 3 -2"'
_cell_length_a 8.1970
_cell_length_b 8.1970
_cell_length_c 11.6477
_cell_angle_alpha 90.00
_cell_angle_beta 90.00
_cell_angle_gamma 120.00
loop_
_atom_site_label
_atom_site_type_symbol
_atom_site_fract_x
_atom_site_fract_y
_atom_site_fract_z
La1 La 0.0264 0.5132 0.0000
Au1 Au 0.0000 0.0000 0.5221
C1 C 0.0000 0.0000 0.2739
# Energy of formation in kJ per mole of atoms: 20.5
# DOS at the Fermi energy in states/eV/f.u.: 3.35
# Crystal system: trigonal